[1]
Y2ZrTl2 PBE relaxed; D(E_F) = 10.5 states/eV per cell; total energy = -5.15 eV/atom; SG = P4/mbm
1.0
8.9555 0.0000 0.0000
0.0000 8.9555 0.0000
0.0000 0.0000 3.4498
Y Zr Tl
4 2 4
direct
0.1298 0.3702 0.0000 Y
0.3702 0.8702 0.0000 Y
0.6298 0.1298 0.0000 Y
0.8702 0.6298 0.0000 Y
0.0000 0.0000 0.0000 Zr
0.5000 0.5000 0.0000 Zr
0.1717 0.6717 0.5000 Tl
0.3283 0.1717 0.5000 Tl
0.6717 0.8283 0.5000 Tl
0.8283 0.3283 0.5000 Tl



[2]
YZr2Tl PBE relaxed; D(E_F) = 4.5 states/eV per cell; total energy = -6.54 eV/atom; SG = P4mm
1.0
3.2663 0.0000 0.0000
0.0000 3.2663 0.0000
0.0000 0.0000 9.4801
Y Zr Tl
1 2 1
direct
0.0000 0.0000 0.0000 Y
0.0000 0.0000 0.4982 Zr
0.5000 0.5000 0.2670 Zr
0.5000 0.5000 0.7419 Tl



[3]
Y2ZrTl2 PBE relaxed; D(E_F) = 9.0 states/eV per cell; total energy = -5.42 eV/atom; SG = P4/mbm
1.0
7.8693 0.0000 0.0000
0.0000 7.8693 0.0000
0.0000 0.0000 4.4362
Y Zr Tl
4 2 4
direct
0.1724 0.3276 0.0000 Y
0.3276 0.8276 0.0000 Y
0.6724 0.1724 0.0000 Y
0.8276 0.6724 0.0000 Y
0.0000 0.0000 0.5000 Zr
0.5000 0.5000 0.5000 Zr
0.1348 0.6348 0.5000 Tl
0.3652 0.1348 0.5000 Tl
0.6348 0.8652 0.5000 Tl
0.8652 0.3652 0.5000 Tl